1.
## Pm3Er3Sc (PBE)

Data for crystalline Pm3Er3Sc at its relaxed geometry.

Space group: No. 176
ρ: 7.40 g/cm³
Total DFT energy (no corrections): -4.86 eV/atom
Formation energy from the elements: 3.3 kJ/mol of atoms
Crystal system: hexagonal
Distance to the lowest polymorph of the same formula: 0 meV per atom

Lattice parameters (Å, degrees): 9.4708 9.4708 5.6722 90.00 90.00 120.00
Atoms (fractional coordinates):
Pm1 0.0530 0.2462 0.2500
Pm2 0.1932 0.9470 0.2500
Pm3 0.2462 0.1932 0.7500
Pm4 0.7538 0.8068 0.2500
Pm5 0.8068 0.0530 0.7500
Pm6 0.9470 0.7538 0.7500
Er1 0.0964 0.4808 0.7500
Er2 0.3843 0.9036 0.7500
Er3 0.4808 0.3843 0.2500
Er4 0.5192 0.6157 0.7500
Er5 0.6157 0.0964 0.2500
Er6 0.9036 0.5192 0.2500
Sc1 0.3333 0.6667 0.2500
Sc2 0.6667 0.3333 0.7500



2.
## Pm10Er4Sc (PBE)

Data for crystalline Pm10Er4Sc at its relaxed geometry.

Space group: No. 139
ρ: 7.13 g/cm³
Total DFT energy (no corrections): -4.60 eV/atom
Formation energy from the elements: 19.8 kJ/mol of atoms
Crystal system: tetragonal

Lattice parameters (Å, degrees): 8.9721 8.9721 8.9721 100.48 100.48 129.52
Atoms (fractional coordinates):
Pm1 0.0070 0.2190 0.7880
Pm2 0.2190 0.0070 0.7880
Pm3 0.2190 0.4310 0.2120
Pm4 0.2500 0.7500 0.5000
Pm5 0.4310 0.2190 0.2120
Pm6 0.5690 0.7810 0.7880
Pm7 0.7500 0.2500 0.5000
Pm8 0.7810 0.5690 0.7880
Pm9 0.7810 0.9930 0.2120
Pm10 0.9930 0.7810 0.2120
Er1 0.2661 0.2661 0.5322
Er2 0.2661 0.7339 0.0000
Er3 0.7339 0.2661 0.0000
Er4 0.7339 0.7339 0.4678
Sc1 0.5000 0.5000 0.0000



3.
## PmEr3Sc (PBE)

Data for crystalline PmEr3Sc at its relaxed geometry.

Space group: No. 11
ρ: 7.57 g/cm³
Total DFT energy (no corrections): -4.93 eV/atom
Formation energy from the elements: 2.3 kJ/mol of atoms
Crystal system: monoclinic
Distance to the lowest polymorph of the same formula: 0 meV per atom

Lattice parameters (Å, degrees): 6.1684 5.5395 9.3997 90.00 109.07 90.00
Atoms (fractional coordinates):
Pm1 0.0684 0.2500 0.2984
Pm2 0.9316 0.7500 0.7016
Er1 0.1408 0.7500 0.0956
Er2 0.2727 0.2500 0.7090
Er3 0.3363 0.7500 0.5034
Er4 0.6637 0.2500 0.4966
Er5 0.7273 0.7500 0.2910
Er6 0.8592 0.2500 0.9044
Sc1 0.4646 0.2500 0.0954
Sc2 0.5354 0.7500 0.9046



4.
## Pm3Er4Sc (PBE)

Data for crystalline Pm3Er4Sc at its relaxed geometry.

Space group: No. 31
ρ: 7.57 g/cm³
Total DFT energy (no corrections): -4.83 eV/atom
Formation energy from the elements: 2.5 kJ/mol of atoms
Crystal system: orthorhombic
Distance to the lowest polymorph of the same formula: 0 meV per atom

Lattice parameters (Å, degrees): 11.2340 7.2248 6.2130 90.00 90.00 90.00
Atoms (fractional coordinates):
Pm1 0.0000 0.1263 0.0000
Pm2 0.2501 0.1241 0.3321
Pm3 0.2499 0.8759 0.8321
Pm4 0.5000 0.8737 0.5000
Pm5 0.7499 0.1241 0.3321
Pm6 0.7501 0.8759 0.8321
Er1 0.0000 0.3762 0.5028
Er2 0.0000 0.6230 0.9990
Er3 0.2448 0.6241 0.3371
Er4 0.2552 0.3759 0.8371
Er5 0.5000 0.3770 0.4990
Er6 0.5000 0.6238 0.0028
Er7 0.7448 0.3759 0.8371
Er8 0.7552 0.6241 0.3371
Sc1 0.0000 0.8701 0.4970
Sc2 0.5000 0.1299 0.9970



5.
## Pm4ErSc5 (PBE)

Data for crystalline Pm4ErSc5 at its relaxed geometry.

Space group: No. 123
ρ: 5.62 g/cm³
Total DFT energy (no corrections): -5.47 eV/atom
Formation energy from the elements: 5.2 kJ/mol of atoms
Crystal system: tetragonal

Lattice parameters (Å, degrees): 3.5338 3.5338 22.9976 90.00 90.00 90.00
Atoms (fractional coordinates):
Pm1 0.0000 0.0000 0.1005
Pm2 0.0000 0.0000 0.3018
Pm3 0.0000 0.0000 0.6982
Pm4 0.0000 0.0000 0.8995
Er1 0.0000 0.0000 0.5000
Sc1 0.5000 0.5000 0.0000
Sc2 0.5000 0.5000 0.2013
Sc3 0.5000 0.5000 0.4028
Sc4 0.5000 0.5000 0.5972
Sc5 0.5000 0.5000 0.7987



6.
## PmEr6Sc3 (PBE)

Data for crystalline PmEr6Sc3 at its relaxed geometry.

Space group: No. 146
ρ: 7.20 g/cm³
Total DFT energy (no corrections): -4.92 eV/atom
Formation energy from the elements: 18.9 kJ/mol of atoms
Crystal system: trigonal
Distance to the lowest polymorph of the same formula: 33 meV per atom

Lattice parameters (Å, degrees): 6.6683 6.6683 6.6683 91.62 91.62 91.62
Atoms (fractional coordinates):
Pm1 0.0000 0.0000 0.0000
Er1 0.0013 0.3426 0.6588
Er2 0.1648 0.8366 0.5009
Er3 0.3426 0.6588 0.0013
Er4 0.5009 0.1648 0.8366
Er5 0.6588 0.0013 0.3426
Er6 0.8366 0.5009 0.1648
Sc1 0.2589 0.2589 0.2589
Sc2 0.4997 0.4997 0.4997
Sc3 0.7400 0.7400 0.7400



7.
## Pm5ErSc2 (PBE)

Data for crystalline Pm5ErSc2 at its relaxed geometry.

Space group: No. 15
ρ: 6.41 g/cm³
Total DFT energy (no corrections): -4.99 eV/atom
Formation energy from the elements: 12.9 kJ/mol of atoms
Crystal system: monoclinic

Lattice parameters (Å, degrees): 9.4870 9.4870 6.4888 98.46 98.46 62.23
Atoms (fractional coordinates):
Pm1 0.0600 0.9400 0.7500
Pm2 0.1123 0.2899 0.0169
Pm3 0.2899 0.1123 0.5169
Pm4 0.3106 0.5010 0.8652
Pm5 0.4990 0.6894 0.6348
Pm6 0.5010 0.3106 0.3652
Pm7 0.6894 0.4990 0.1348
Pm8 0.7101 0.8877 0.4831
Pm9 0.8877 0.7101 0.9831
Pm10 0.9400 0.0600 0.2500
Er1 0.0000 0.5000 0.5000
Er2 0.5000 0.0000 0.0000
Sc1 0.1771 0.6674 0.3601
Sc2 0.3326 0.8229 0.1399
Sc3 0.6674 0.1771 0.8601
Sc4 0.8229 0.3326 0.6399



8.
## PmErSc2 (PBE)

Data for crystalline PmErSc2 at its relaxed geometry.

Space group: No. 10
ρ: 5.92 g/cm³
Total DFT energy (no corrections): -5.44 eV/atom
Formation energy from the elements: 5.1 kJ/mol of atoms
Crystal system: monoclinic
Distance to the lowest polymorph of the same formula: 0 meV per atom

Lattice parameters (Å, degrees): 3.4924 4.6211 6.9927 90.00 90.12 90.00
Atoms (fractional coordinates):
Pm1 0.0000 0.0000 0.0000
Er1 0.0000 0.0000 0.5000
Sc1 0.5004 0.5000 0.2549
Sc2 0.4996 0.5000 0.7451



9.
## PmEr14Sc (PBE)

Data for crystalline PmEr14Sc at its relaxed geometry.

Space group: No. 38
ρ: 8.67 g/cm³
Total DFT energy (no corrections): -4.67 eV/atom
Formation energy from the elements: 1.2 kJ/mol of atoms
Crystal system: orthorhombic

Lattice parameters (Å, degrees): 11.3098 7.0397 7.0397 59.94 90.00 90.00
Atoms (fractional coordinates):
Pm1 0.0000 0.0000 0.0000
Er1 0.0000 0.0004 0.5025
Er2 0.0000 0.5025 0.0004
Er3 0.2470 0.3353 0.3353
Er4 0.2489 0.3355 0.8323
Er5 0.2489 0.8323 0.3355
Er6 0.2530 0.8339 0.8339
Er7 0.5000 0.1673 0.1673
Er8 0.5000 0.1684 0.6666
Er9 0.5000 0.6666 0.1684
Er10 0.5000 0.6667 0.6667
Er11 0.7470 0.8339 0.8339
Er12 0.7511 0.3355 0.8323
Er13 0.7511 0.8323 0.3355
Er14 0.7530 0.3353 0.3353
Sc1 0.0000 0.5011 0.5011



10.
## Pm2ErSc4 (PBE)

Data for crystalline Pm2ErSc4 at its relaxed geometry.

Space group: No. 1
ρ: 5.37 g/cm³
Total DFT energy (no corrections): -5.59 eV/atom
Formation energy from the elements: 3.3 kJ/mol of atoms
Crystal system: triclinic

Lattice parameters (Å, degrees): 6.4141 8.1002 8.7909 65.68 71.99 77.50
Atoms (fractional coordinates):
Pm1 0.0000 0.0000 0.0000
Pm2 0.0315 0.1868 0.2678
Pm3 0.7423 0.0411 0.6909
Pm4 0.8503 0.4331 0.7088
Er1 0.1421 0.5758 0.2847
Er2 0.8825 0.6168 0.9784
Sc1 0.1910 0.7639 0.5472
Sc2 0.2861 0.1428 0.5652
Sc3 0.3276 0.3418 0.8295
Sc4 0.4099 0.7107 0.8545
Sc5 0.4704 0.9044 0.1260
Sc6 0.5516 0.2832 0.1475
Sc7 0.5964 0.4807 0.4073
Sc8 0.6900 0.8509 0.4305



11.
## Pm3Er7Sc (PBE)

Data for crystalline Pm3Er7Sc at its relaxed geometry.

Space group: No. 156
ρ: 7.61 g/cm³
Total DFT energy (no corrections): -4.59 eV/atom
Formation energy from the elements: 17.6 kJ/mol of atoms
Crystal system: trigonal

Lattice parameters (Å, degrees): 6.9747 6.9747 8.5519 90.00 90.00 120.00
Atoms (fractional coordinates):
Pm1 0.0015 0.5008 0.0000
Pm2 0.4992 0.5008 0.0000
Pm3 0.4992 0.9985 0.0000
Er1 0.1682 0.3364 0.6572
Er2 0.1682 0.8318 0.6572
Er3 0.3352 0.1676 0.3350
Er4 0.6636 0.8318 0.6572
Er5 0.6667 0.3333 0.6597
Er6 0.8324 0.1676 0.3350
Er7 0.8324 0.6648 0.3350
Sc1 0.3333 0.6667 0.3374



12.
## Pm3Er4Sc2 (PBE)

Data for crystalline Pm3Er4Sc2 at its relaxed geometry.

Space group: No. 2
ρ: 7.27 g/cm³
Total DFT energy (no corrections): -4.98 eV/atom
Formation energy from the elements: 4.0 kJ/mol of atoms
Crystal system: triclinic
Distance to the lowest polymorph of the same formula: 0 meV per atom

Lattice parameters (Å, degrees): 6.0556 9.2528 10.4998 71.86 84.27 77.37
Atoms (fractional coordinates):
Pm1 0.0341 0.1919 0.4410
Pm2 0.3053 0.1391 0.8886
Pm3 0.3582 0.5319 0.7808
Pm4 0.6418 0.4681 0.2192
Pm5 0.6947 0.8609 0.1114
Pm6 0.9659 0.8081 0.5590
Er1 0.0856 0.5822 0.3329
Er2 0.1373 0.9755 0.2216
Er3 0.2512 0.7475 0.9978
Er4 0.4740 0.3017 0.5553
Er5 0.5260 0.6983 0.4447
Er6 0.7488 0.2525 0.0022
Er7 0.8627 0.0245 0.7784
Er8 0.9144 0.4178 0.6671
Sc1 0.1955 0.3609 0.1107
Sc2 0.4200 0.9169 0.6665
Sc3 0.5800 0.0831 0.3335
Sc4 0.8045 0.6391 0.8893



13.
## Pm5ErSc4 (PBE)

Data for crystalline Pm5ErSc4 at its relaxed geometry.

Space group: No. 123
ρ: 5.99 g/cm³
Total DFT energy (no corrections): -5.32 eV/atom
Formation energy from the elements: 4.4 kJ/mol of atoms
Crystal system: tetragonal
Distance to the lowest polymorph of the same formula: 0 meV per atom

Lattice parameters (Å, degrees): 3.5639 3.5639 23.3946 90.00 90.00 90.00
Atoms (fractional coordinates):
Pm1 0.0000 0.0000 0.0000
Pm2 0.0000 0.0000 0.1959
Pm3 0.0000 0.0000 0.3927
Pm4 0.0000 0.0000 0.6073
Pm5 0.0000 0.0000 0.8041
Er1 0.5000 0.5000 0.5000
Sc1 0.5000 0.5000 0.0980
Sc2 0.5000 0.5000 0.2941
Sc3 0.5000 0.5000 0.7059
Sc4 0.5000 0.5000 0.9020



14.
## PmEr2Sc7 (PBE)

Data for crystalline PmEr2Sc7 at its relaxed geometry.

Space group: No. 65
ρ: 4.87 g/cm³
Total DFT energy (no corrections): -5.66 eV/atom
Formation energy from the elements: 15.5 kJ/mol of atoms
Crystal system: orthorhombic
Distance to the lowest polymorph of the same formula: 0 meV per atom

Lattice parameters (Å, degrees): 13.8135 13.8135 3.3261 90.00 90.00 154.73
Atoms (fractional coordinates):
Pm1 0.0000 0.0000 0.0000
Er1 0.2890 0.7110 0.5000
Er2 0.7110 0.2890 0.5000
Sc1 0.1485 0.3484 0.5000
Sc2 0.1830 0.8170 0.0000
Sc3 0.3484 0.1485 0.5000
Sc4 0.5000 0.5000 0.5000
Sc5 0.6516 0.8515 0.5000
Sc6 0.8170 0.1830 0.0000
Sc7 0.8515 0.6516 0.5000



15.
## Pm5Er2Sc (PBE)

Data for crystalline Pm5Er2Sc at its relaxed geometry.

Space group: No. 15
ρ: 7.01 g/cm³
Total DFT energy (no corrections): -4.78 eV/atom
Formation energy from the elements: 12.0 kJ/mol of atoms
Crystal system: monoclinic
Distance to the lowest polymorph of the same formula: 7 meV per atom

Lattice parameters (Å, degrees): 9.4858 9.4858 6.7095 101.24 101.24 62.90
Atoms (fractional coordinates):
Pm1 0.0639 0.9361 0.7500
Pm2 0.1319 0.2884 0.0564
Pm3 0.2884 0.1319 0.5564
Pm4 0.3022 0.5059 0.8419
Pm5 0.4941 0.6978 0.6581
Pm6 0.5059 0.3022 0.3419
Pm7 0.6978 0.4941 0.1581
Pm8 0.7116 0.8681 0.4436
Pm9 0.8681 0.7116 0.9436
Pm10 0.9361 0.0639 0.2500
Er1 0.1668 0.6550 0.3383
Er2 0.3450 0.8332 0.1617
Er3 0.6550 0.1668 0.8383
Er4 0.8332 0.3450 0.6617
Sc1 0.0000 0.5000 0.5000
Sc2 0.5000 0.0000 0.0000



16.
## PmEr3Sc (PBE)

Data for crystalline PmEr3Sc at its relaxed geometry.

Space group: No. 160
ρ: 7.67 g/cm³
Total DFT energy (no corrections): -4.91 eV/atom
Formation energy from the elements: 4.2 kJ/mol of atoms
Crystal system: trigonal
Distance to the lowest polymorph of the same formula: 19 meV per atom

Lattice parameters (Å, degrees): 14.2660 14.2660 14.2660 14.09 14.09 14.09
Atoms (fractional coordinates):
Pm1 0.0000 0.0000 0.0000
Er1 0.4024 0.4024 0.4024
Er2 0.5968 0.5968 0.5968
Er3 0.8033 0.8033 0.8033
Sc1 0.2001 0.2001 0.2001



17.
## Pm2Er12Sc (PBE)

Data for crystalline Pm2Er12Sc at its relaxed geometry.

Space group: No. 12
ρ: 8.31 g/cm³
Total DFT energy (no corrections): -4.58 eV/atom
Formation energy from the elements: 12.2 kJ/mol of atoms
Crystal system: monoclinic

Lattice parameters (Å, degrees): 6.4804 6.4804 24.4198 90.45 90.45 114.12
Atoms (fractional coordinates):
Pm1 0.1102 0.1102 0.2752
Pm2 0.3866 0.3866 0.7201
Pm3 0.6134 0.6134 0.2799
Pm4 0.8898 0.8898 0.7248
Er1 0.1016 0.1016 0.1229
Er2 0.1026 0.6096 0.1982
Er3 0.1159 0.6143 0.3322
Er4 0.1250 0.1250 0.5727
Er5 0.1309 0.6244 0.5544
Er6 0.1502 0.6204 0.0610
Er7 0.3682 0.3682 0.4300
Er8 0.3756 0.8691 0.4456
Er9 0.3796 0.8498 0.9390
Er10 0.3857 0.8841 0.6678
Er11 0.3904 0.8974 0.8018
Er12 0.3965 0.3965 0.8665
Er13 0.6035 0.6035 0.1335
Er14 0.6096 0.1026 0.1982
Er15 0.6143 0.1159 0.3322
Er16 0.6204 0.1502 0.0610
Er17 0.6244 0.1309 0.5544
Er18 0.6318 0.6318 0.5700
Er19 0.8498 0.3796 0.9390
Er20 0.8691 0.3756 0.4456
Er21 0.8750 0.8750 0.4273
Er22 0.8841 0.3857 0.6678
Er23 0.8974 0.3904 0.8018
Er24 0.8984 0.8984 0.8771
Sc1 0.2397 0.2397 0.9897
Sc2 0.7603 0.7603 0.0103



18.
## Pm7Er3Sc (PBE)

Data for crystalline Pm7Er3Sc at its relaxed geometry.

Space group: No. 12
ρ: 7.11 g/cm³
Total DFT energy (no corrections): -4.71 eV/atom
Formation energy from the elements: 13.0 kJ/mol of atoms
Crystal system: monoclinic
Distance to the lowest polymorph of the same formula: 0 meV per atom

Lattice parameters (Å, degrees): 9.8412 9.8412 11.2961 90.14 90.14 138.19
Atoms (fractional coordinates):
Pm1 0.0881 0.4096 0.0289
Pm2 0.0924 0.4139 0.4699
Pm3 0.1688 0.3417 0.7491
Pm4 0.2420 0.2420 0.2491
Pm5 0.3417 0.1688 0.7491
Pm6 0.4096 0.0881 0.0289
Pm7 0.4139 0.0924 0.4699
Pm8 0.5861 0.9076 0.5301
Pm9 0.5904 0.9119 0.9711
Pm10 0.6583 0.8312 0.2509
Pm11 0.7580 0.7580 0.7509
Pm12 0.8312 0.6583 0.2509
Pm13 0.9076 0.5861 0.5301
Pm14 0.9119 0.5904 0.9711
Er1 0.0000 0.0000 0.5000
Er2 0.2471 0.7503 0.2495
Er3 0.2497 0.7529 0.7505
Er4 0.5000 0.5000 0.0000
Er5 0.7503 0.2471 0.2495
Er6 0.7529 0.2497 0.7505
Sc1 0.0000 0.0000 0.0000
Sc2 0.5000 0.5000 0.5000



19.
## PmEr2Sc (PBE)

Data for crystalline PmEr2Sc at its relaxed geometry.

Space group: No. 123
ρ: 7.30 g/cm³
Total DFT energy (no corrections): -5.01 eV/atom
Formation energy from the elements: 4.2 kJ/mol of atoms
Crystal system: tetragonal
Distance to the lowest polymorph of the same formula: 20 meV per atom

Lattice parameters (Å, degrees): 4.8961 4.8961 4.9754 90.00 90.00 90.00
Atoms (fractional coordinates):
Pm1 0.0000 0.0000 0.0000
Er1 0.0000 0.5000 0.5000
Er2 0.5000 0.0000 0.5000
Sc1 0.5000 0.5000 0.0000